[1]
An optimized crystal structure of K2TlSnI4. Source: Alexandria via LeMat-Bulk, functional PBE.

formation energy from raw total energies	-6.84	eV/f.u.
magnetic moment	0.63	μB per cell
space-group type	I-4m2 (119)
Fermi-level density of states	1.65	states/eV/cell

a = 8.6023 Å, b = 8.6023 Å, c = 8.6023 Å
α = 131.46°, β = 131.46°, γ = 71.09°
Closest atoms and distances in Å follow each position.
Atoms (fractional coordinates):
K  0.0000  0.0000  0.0000  6 I 3.54-3.70
K  0.7500  0.2500  0.5000  6 I 3.50-3.54
Tl  0.2500  0.7500  0.5000  6 I 3.50-3.54
Sn  0.5000  0.5000  0.0000  6 I 3.30-3.54
I  0.0003  0.5003  0.5000  1 Tl 3.50, 3 K 3.50-3.54, 2 Sn 3.54
I  0.2644  0.2644  0.0000  1 Sn 3.30, 2 Tl 3.54, 2 K 3.54
I  0.4997  0.9997  0.5000  1 Tl 3.50, 3 K 3.50-3.54, 2 Sn 3.54
I  0.7356  0.7356  0.0000  1 Sn 3.30, 2 Tl 3.54, 2 K 3.54

***

[2]
An optimized crystal structure of GaTcPt2W. Source: Alexandria via LeMat-Bulk, functional PBE.

magnetic moment	0.00	μB per cell
space-group type	P4/mmm (123)
VASP energy	-0.238	Ha/atom
Fermi-level density of states	3.76	states/eV/cell

a = 4.9154 Å, b = 4.9154 Å, c = 4.6429 Å
α = 90.00°, β = 90.00°, γ = 90.00°
Closest atoms and distances in Å follow each position.
Atoms (fractional coordinates):
Ga  0.0000  0.0000  0.0000  8 Pt 3.38, 4 Tc 3.48
Tc  0.5000  0.5000  0.0000  2 W 2.32
Pt  0.0000  0.5000  0.5000  2 W 2.46
Pt  0.5000  0.0000  0.5000  2 W 2.46
W  0.5000  0.5000  0.5000  2 Tc 2.32, 4 Pt 2.46

***

[3]
An optimized crystal structure of Er8AsS6. Source: Alexandria via LeMat-Bulk, functional PBE.

formation energy from raw total energies	-22.56	eV/f.u.
magnetic moment	0.00	μB per cell
space-group type	P-3 (147)
Fermi-level density of states	7.19	states/eV/cell

a = 9.9288 Å, b = 9.9288 Å, c = 3.9201 Å
α = 90.00°, β = 90.00°, γ = 120.00°
Closest atoms and distances in Å follow each position.
Atoms (fractional coordinates):
Er  0.0328  0.7069  0.2575  4 S 2.63-2.87
Er  0.2931  0.3259  0.2575  4 S 2.63-2.87
Er  0.3259  0.0328  0.7425  4 S 2.63-2.87
Er  0.3333  0.6667  0.7472  6 S 2.74
Er  0.6667  0.3333  0.2528  6 S 2.74
Er  0.6741  0.9672  0.2575  4 S 2.63-2.87
Er  0.7069  0.6741  0.7425  4 S 2.63-2.87
Er  0.9672  0.2931  0.7425  4 S 2.63-2.87
As  0.0000  0.0000  0.5000  6 Er 3.23
S  0.1336  0.4815  0.2471  6 Er 2.63-2.87
S  0.3479  0.8664  0.2471  6 Er 2.63-2.87
S  0.4815  0.3479  0.7529  6 Er 2.63-2.87
S  0.5185  0.6521  0.2471  6 Er 2.63-2.87
S  0.6521  0.1336  0.7529  6 Er 2.63-2.87
S  0.8664  0.5185  0.7529  6 Er 2.63-2.87

***

[4]
An optimized crystal structure of Y6Bi3Ir. Source: Alexandria via LeMat-Bulk, functional PBE.

magnetic moment	0.00	μB per cell
space-group type	P2_1/c (14)
VASP energy	-0.242	Ha/atom
Fermi-level density of states	13.73	states/eV/cell

a = 6.6283 Å, b = 8.4567 Å, c = 12.6504 Å
α = 90.00°, β = 120.56°, γ = 90.00°
Closest atoms and distances in Å follow each position.
Atoms (fractional coordinates):
Y  0.0647  0.1999  0.4397  1 Ir 2.75
Y  0.0647  0.3001  0.9397  1 Ir 2.75
Y  0.2923  0.6589  0.4370  1 Ir 2.79, 1 Bi 3.12
Y  0.2923  0.8411  0.9370  1 Ir 2.79, 1 Bi 3.12
Y  0.3751  0.0411  0.2299  1 Ir 2.72
Y  0.3751  0.4589  0.7299  1 Ir 2.72
Y  0.6249  0.5411  0.2701  1 Ir 2.72
Y  0.6249  0.9589  0.7701  1 Ir 2.72
Y  0.7077  0.1589  0.0630  1 Ir 2.79, 1 Bi 3.12
Y  0.7077  0.3411  0.5630  1 Ir 2.79, 1 Bi 3.12
Y  0.9353  0.6999  0.0603  1 Ir 2.75
Y  0.9353  0.8001  0.5603  1 Ir 2.75
Bi  0.1590  0.1160  0.7383  7 Y 3.19-3.57
Bi  0.1590  0.3840  0.2383  7 Y 3.19-3.57
Bi  0.5000  0.0000  0.5000  6 Y 3.09-3.12
Bi  0.5000  0.5000  0.0000  6 Y 3.09-3.12
Bi  0.8410  0.6160  0.7617  7 Y 3.19-3.57
Bi  0.8410  0.8840  0.2617  7 Y 3.19-3.57
Ir  0.0000  0.0000  0.0000  6 Y 2.72-2.79
Ir  0.0000  0.5000  0.5000  6 Y 2.72-2.79

***

[5]
An optimized crystal structure of Ca2BeH6. Source: Alexandria via LeMat-Bulk, functional PBE.

magnetic moment	0.00	μB per cell
polymorph energy (0 for the lowest one)	204	meV per atom
space-group type	P4_2/mnm (136)
Fermi-level density of states	0.00	states/eV/cell

a = 4.6604 Å, b = 4.6604 Å, c = 9.4204 Å
α = 90.00°, β = 90.00°, γ = 90.00°
Closest atoms and distances in Å follow each position.
Atoms (fractional coordinates):
Ca  0.0000  0.0000  0.1669  6 H 2.20-2.25
Ca  0.0000  0.0000  0.8331  6 H 2.20-2.25
Ca  0.5000  0.5000  0.3331  6 H 2.20-2.25
Ca  0.5000  0.5000  0.6669  6 H 2.20-2.25
Be  0.0000  0.0000  0.5000  6 H 1.67-1.69
Be  0.5000  0.5000  0.0000  6 H 1.67-1.69
H  0.1698  0.1698  0.3688  1 Be 1.67
H  0.1698  0.1698  0.6312  1 Be 1.67
H  0.2439  0.2439  0.0000  1 Be 1.69
H  0.2561  0.7439  0.5000  1 Be 1.69
H  0.3302  0.6698  0.1312  1 Be 1.67
H  0.3302  0.6698  0.8688  1 Be 1.67
H  0.6698  0.3302  0.1312  1 Be 1.67
H  0.6698  0.3302  0.8688  1 Be 1.67
H  0.7439  0.2561  0.5000  1 Be 1.69
H  0.7561  0.7561  0.0000  1 Be 1.69
H  0.8302  0.8302  0.3688  1 Be 1.67
H  0.8302  0.8302  0.6312  1 Be 1.67

***

[6]
An optimized crystal structure of CrIr4Rh2. Source: Alexandria via LeMat-Bulk, functional PBE.

magnetic moment	0.00	μB per cell
polymorph energy (0 for the lowest one)	0	meV per atom
space-group type	Cmmm (65)
Fermi-level density of states	7.79	states/eV/cell

a = 5.3549 Å, b = 5.3549 Å, c = 3.7232 Å
α = 90.00°, β = 90.00°, γ = 91.74°
Closest atoms and distances in Å follow each position.
Atoms (fractional coordinates):
Cr  0.0000  0.0000  0.0000  8 Ir 2.62-2.68, 4 Rh 2.70
Ir  0.0000  0.5000  0.0000  4 Ir 2.64, 4 Rh 2.68, 2 Cr 2.68
Ir  0.2395  0.7605  0.5000  2 Cr 2.62, 4 Ir 2.64, 4 Rh 2.67-2.69
Ir  0.5000  0.0000  0.0000  4 Ir 2.64, 4 Rh 2.68, 2 Cr 2.68
Ir  0.7605  0.2395  0.5000  2 Cr 2.62, 4 Ir 2.64, 4 Rh 2.67-2.69
Rh  0.2624  0.2624  0.5000  8 Ir 2.67-2.69, 2 Cr 2.70
Rh  0.7376  0.7376  0.5000  8 Ir 2.67-2.69, 2 Cr 2.70

***

[7]
An optimized crystal structure of Ta3Co8Ni2. Source: Alexandria via LeMat-Bulk, functional PBE.

magnetic moment	8.63	μB per cell
space-group type	R-3m (166)
VASP energy	-0.291	Ha/atom
Fermi-level density of states	16.33	states/eV/cell

a = 9.5060 Å, b = 9.5060 Å, c = 9.5060 Å
α = 28.06°, β = 28.06°, γ = 28.06°
Closest atoms and distances in Å follow each position.
Atoms (fractional coordinates):
Ta  0.0000  0.0000  0.0000  6 Ni 2.75, 6 Co 2.97
Ta  0.1859  0.1859  0.1859  10 Co 2.48-2.76
Ta  0.8141  0.8141  0.8141  10 Co 2.48-2.76
Co  0.2345  0.7369  0.7369  6 Co 2.29-2.55, 1 Ni 2.38
Co  0.2631  0.2631  0.7655  6 Co 2.29-2.55, 1 Ni 2.38
Co  0.2631  0.7655  0.2631  6 Co 2.29-2.55, 1 Ni 2.38
Co  0.2763  0.2763  0.2763  1 Ni 2.25, 1 Ta 2.48
Co  0.7237  0.7237  0.7237  1 Ni 2.25, 1 Ta 2.48
Co  0.7369  0.2344  0.7369  6 Co 2.29-2.56, 1 Ni 2.38
Co  0.7369  0.7369  0.2345  6 Co 2.29-2.56, 1 Ni 2.38
Co  0.7655  0.2631  0.2631  6 Co 2.29-2.56, 1 Ni 2.38
Ni  0.3585  0.3585  0.3585  4 Co 2.25-2.38
Ni  0.6415  0.6415  0.6415  4 Co 2.25-2.38

***

[8]
An optimized crystal structure of CuNi2Rh. Source: Alexandria via LeMat-Bulk, functional PBE.

magnetic moment	1.58	μB per cell
space-group type	Cmmm (65)
VASP energy	-0.205	Ha/atom
Fermi-level density of states	5.91	states/eV/cell

a = 2.5577 Å, b = 2.5577 Å, c = 8.5391 Å
α = 90.00°, β = 90.00°, γ = 117.51°
Closest atoms and distances in Å follow each position.
Atoms (fractional coordinates):
Cu  0.0000  0.0000  0.0000  4 Ni 2.47, 6 Cu 2.56-2.65
Ni  0.5000  0.5000  0.2438  2 Cu 2.47, 6 Ni 2.56-2.65, 2 Rh 2.56
Ni  0.5000  0.5000  0.7562  2 Cu 2.47, 6 Ni 2.56-2.65, 2 Rh 2.56
Rh  0.0000  0.0000  0.5000  6 Rh 2.56-2.65, 4 Ni 2.56

***

[9]
An optimized crystal structure of TbTmCdPb. Source: Alexandria via LeMat-Bulk, functional PBE.

magnetic moment	0.00	μB per cell
polymorph energy (0 for the lowest one)	4	meV per atom
space-group type	F-43m (216)
Fermi-level density of states	3.44	states/eV/cell

a = 5.3198 Å, b = 5.3198 Å, c = 5.3198 Å
α = 60.00°, β = 60.00°, γ = 60.00°
Closest atoms and distances in Å follow each position.
Atoms (fractional coordinates):
Tb  0.0000  0.0000  0.0000  4 Cd 3.26, 4 Pb 3.26
Tm  0.5000  0.5000  0.5000  4 Cd 3.26, 4 Pb 3.26
Cd  0.2500  0.2500  0.2500  4 Tb 3.26, 4 Tm 3.26
Pb  0.7500  0.7500  0.7500  4 Tm 3.26, 4 Tb 3.26

***

[10]
An optimized crystal structure of Pm5PrYTm2. Source: Alexandria via LeMat-Bulk, functional PBE.

magnetic moment	0.00	μB per cell
space-group type	Cmc2_1 (36)
VASP energy	-0.174	Ha/atom
Fermi-level density of states	28.84	states/eV/cell

a = 10.5345 Å, b = 10.5345 Å, c = 10.6553 Å
α = 90.00°, β = 90.00°, γ = 148.68°
Closest atoms and distances in Å follow each position.
Atoms (fractional coordinates):
Pm  0.0172  0.9828  0.5000  2 Pr 3.26, 3 Tm 3.45-3.63
Pm  0.2807  0.7193  0.7914  1 Pr 3.08, 1 Tm 3.34, 2 Pm 3.44
Pm  0.2978  0.7022  0.1874  4 Pm 3.44-3.81, 3 Y 3.53-3.80, 3 Tm 3.54-3.76, 1 Pr 3.61
Pm  0.3872  0.6128  0.5020  6 Pm 3.55-3.88, 4 Tm 3.58-3.62, 1 Y 3.81
Pm  0.4791  0.5209  0.2188  2 Pr 3.13-3.35
Pm  0.5209  0.4791  0.7188  2 Pr 3.13-3.35
Pm  0.6128  0.3872  0.0020  6 Pm 3.55-3.88, 4 Tm 3.58-3.62, 1 Y 3.81
Pm  0.7022  0.2978  0.6874  4 Pm 3.44-3.81, 3 Y 3.53-3.80, 3 Tm 3.54-3.76, 1 Pr 3.61
Pm  0.7193  0.2807  0.2914  1 Pr 3.08, 1 Tm 3.34, 2 Pm 3.44
Pm  0.9828  0.0172  0.0000  2 Pr 3.26, 3 Tm 3.45-3.63
Pr  0.4137  0.5863  0.9304  5 Pm 3.08-3.35
Pr  0.5863  0.4137  0.4304  5 Pm 3.08-3.35
Y  0.1992  0.8008  0.4905  2 Tm 3.44-3.69, 8 Pm 3.53-3.81, 2 Pr 3.71
Y  0.8008  0.1992  0.9905  2 Tm 3.44-3.69, 8 Pm 3.53-3.81, 2 Pr 3.71
Tm  0.1131  0.8869  0.2129  1 Y 3.44, 7 Pm 3.48-3.76, 2 Pr 3.71
Tm  0.1158  0.8842  0.7978  8 Pm 3.34-3.58, 1 Y 3.69
Tm  0.8842  0.1158  0.2978  8 Pm 3.34-3.58, 1 Y 3.69
Tm  0.8869  0.1131  0.7129  1 Y 3.44, 7 Pm 3.48-3.76, 2 Pr 3.71

***

[11]
An optimized crystal structure of Cr2Tc. Source: Alexandria via LeMat-Bulk, functional PBE.

magnetic moment	2.05	μB per cell
polymorph energy (0 for the lowest one)	495	meV per atom
space-group type	P-62m (189)
Fermi-level density of states	10.88	states/eV/cell

a = 5.8727 Å, b = 5.8727 Å, c = 4.1582 Å
α = 90.00°, β = 90.00°, γ = 120.00°
Closest atoms and distances in Å follow each position.
Atoms (fractional coordinates):
Cr  0.0000  0.2398  0.0000  4 Tc 2.28-2.51, 2 Cr 2.44
Cr  0.0000  0.5587  0.5000  5 Tc 2.59-2.70, 2 Cr 2.80
Cr  0.2398  0.0000  0.0000  4 Tc 2.28-2.51, 2 Cr 2.44
Cr  0.4413  0.4413  0.5000  5 Tc 2.59-2.70, 2 Cr 2.80
Cr  0.5587  0.0000  0.5000  5 Tc 2.59-2.70, 2 Cr 2.80
Cr  0.7602  0.7602  0.0000  4 Tc 2.28-2.51, 2 Cr 2.44
Tc  0.0000  0.0000  0.5000  9 Cr 2.51-2.59
Tc  0.3333  0.6667  0.0000  3 Cr 2.28
Tc  0.6667  0.3333  0.0000  3 Cr 2.28

***

[12]
An optimized crystal structure of LiSi2Hg. Source: Alexandria via LeMat-Bulk, functional PBE.

formation energy from raw total energies	1.02	eV/f.u.
magnetic moment	0.00	μB per cell
space-group type	Cmmm (65)
Fermi-level density of states	0.90	states/eV/cell

a = 5.0647 Å, b = 5.0647 Å, c = 3.0579 Å
α = 90.00°, β = 90.00°, γ = 116.57°
Closest atoms and distances in Å follow each position.
Atoms (fractional coordinates):
Li  0.0000  0.0000  0.0000  2 Hg 2.66, 8 Si 2.96
Si  0.0000  0.5000  0.5000  2 Si 2.66, 4 Hg 2.96, 4 Li 2.96
Si  0.5000  0.0000  0.5000  2 Si 2.66, 4 Hg 2.96, 4 Li 2.96
Hg  0.5000  0.5000  0.0000  2 Li 2.66, 8 Si 2.96